1.
{
  "formula": "TaRe",
  "functional": "PBE-GGA",
  "state": "optimized geometry",
  "e_tot_ev_per_atom": -12.090,
  "space_group": "R-3m",
  "m_tot_mub_per_cell": 0.00,
  "dos_ef_per_ev_cell": 1.56,
  "e_form_ev_per_atom": 0.061,
  "cell": [[1.521, 0.878, 4.216], [-1.521, 0.878, 4.216], [0.000, -1.756, 4.216]],
  "species": ["Ta", "Re"],
  "fractional_positions": [[0.000, 0.000, 0.000], [0.500, 0.500, 0.500]]
}

2.
{
  "formula": "CsP",
  "functional": "PBE-GGA",
  "state": "optimized geometry",
  "e_tot_ev_per_atom": -2.330,
  "space_group": "P6_3mc",
  "m_tot_mub_per_cell": 0.00,
  "dos_ef_per_ev_cell": 3.31,
  "e_form_ev_per_atom": 0.801,
  "cell": [[3.670, 0.000, 0.000], [-1.835, 3.178, 0.000], [0.000, 0.000, 12.340]],
  "species": ["Cs", "Cs", "P", "P"],
  "fractional_positions": [[0.333, 0.667, 0.000], [0.667, 0.333, 0.500], [0.333, 0.667, 0.276], [0.667, 0.333, 0.776]]
}

3.
{
  "formula": "Li4CaHg",
  "functional": "PBE-GGA",
  "state": "optimized geometry",
  "e_tot_ev_per_atom": -1.821,
  "space_group": "Pmma",
  "m_tot_mub_per_cell": 0.00,
  "dos_ef_per_ev_cell": 6.52,
  "e_form_ev_per_atom": -0.161,
  "polymorph_energy_ev_per_atom": 0.000,
  "cell": [[8.387, 0.000, 0.000], [0.000, 4.347, 0.000], [0.000, 0.000, 7.749]],
  "species": ["Li", "Li", "Li", "Li", "Li", "Li", "Li", "Li", "Ca", "Ca", "Hg", "Hg"],
  "fractional_positions": [[0.000, 0.000, 0.000], [0.060, 0.500, 0.302], [0.250, 0.500, 0.971], [0.440, 0.500, 0.302], [0.500, 0.000, 0.000], [0.560, 0.500, 0.698], [0.750, 0.500, 0.029], [0.940, 0.500, 0.698], [0.250, 0.000, 0.617], [0.750, 0.000, 0.383], [0.250, 0.000, 0.216], [0.750, 0.000, 0.784]]
}

4.
{
  "formula": "ErCd2SbO6",
  "functional": "PBE-GGA",
  "state": "optimized geometry",
  "e_form_raw_ev_per_fu": -18.8,
  "e_tot_ev_per_atom": -5.904,
  "space_group": "R3",
  "m_tot_mub_per_cell": 0.00,
  "dos_ef_per_ev_cell": 0.00,
  "cell": [[2.821, 1.629, 4.889], [-2.821, 1.629, 4.889], [0.000, -3.258, 4.889]],
  "species": ["Er", "Cd", "Cd", "Sb", "O", "O", "O", "O", "O", "O"],
  "fractional_positions": [[0.000, 0.000, 0.000], [0.272, 0.272, 0.272], [0.777, 0.777, 0.777], [0.495, 0.495, 0.495], [0.146, 0.709, 0.374], [0.243, 0.620, 0.841], [0.374, 0.146, 0.709], [0.620, 0.841, 0.243], [0.709, 0.374, 0.146], [0.841, 0.243, 0.620]]
}

5.
{
  "formula": "Cs2BiB",
  "functional": "PBE-GGA",
  "state": "optimized geometry",
  "e_tot_ev_per_atom": -2.054,
  "space_group": "Fm-3m",
  "m_tot_mub_per_cell": 0.00,
  "dos_ef_per_ev_cell": 2.44,
  "e_form_ev_per_atom": 1.012,
  "cell": [[0.000, 4.470, 4.470], [4.470, 0.000, 4.470], [4.470, 4.470, 0.000]],
  "species": ["Cs", "Cs", "Bi", "B"],
  "fractional_positions": [[0.250, 0.250, 0.250], [0.750, 0.750, 0.750], [0.000, 0.000, 0.000], [0.500, 0.500, 0.500]]
}

6.
{
  "formula": "CaMgSc2Tl4",
  "functional": "PBE-GGA",
  "state": "optimized geometry",
  "e_tot_ev_per_atom": -3.422,
  "space_group": "R-3m",
  "m_tot_mub_per_cell": 0.00,
  "dos_ef_per_ev_cell": 5.41,
  "e_form_ev_per_atom": -0.206,
  "cell": [[2.580, 1.489, 8.706], [-2.580, 1.489, 8.706], [0.000, -2.979, 8.706]],
  "species": ["Ca", "Mg", "Sc", "Sc", "Tl", "Tl", "Tl", "Tl"],
  "fractional_positions": [[0.000, 0.000, 0.000], [0.500, 0.500, 0.500], [0.245, 0.245, 0.245], [0.755, 0.755, 0.755], [0.125, 0.125, 0.125], [0.378, 0.378, 0.378], [0.622, 0.622, 0.622], [0.875, 0.875, 0.875]]
}

7.
{
  "formula": "Nd4PaAs5",
  "functional": "PBE-GGA",
  "state": "optimized geometry",
  "e_tot_ev_per_atom": -6.615,
  "space_group": "I4/m",
  "m_tot_mub_per_cell": 0.01,
  "dos_ef_per_ev_cell": 5.22,
  "e_form_ev_per_atom": -1.434,
  "cell": [[-4.729, 4.729, 2.989], [4.729, -4.729, 2.989], [4.729, 4.729, -2.989]],
  "species": ["Nd", "Nd", "Nd", "Nd", "Pa", "As", "As", "As", "As", "As"],
  "fractional_positions": [[0.098, 0.698, 0.795], [0.302, 0.098, 0.400], [0.698, 0.902, 0.600], [0.902, 0.302, 0.205], [0.500, 0.500, 0.000], [0.000, 0.000, 0.000], [0.211, 0.404, 0.615], [0.404, 0.789, 0.193], [0.596, 0.211, 0.807], [0.789, 0.596, 0.385]]
}

8.
{
  "formula": "Cd2GaAu3",
  "functional": "PBE-GGA",
  "state": "optimized geometry",
  "e_tot_ev_per_atom": -2.586,
  "space_group": "C2/c",
  "m_tot_mub_per_cell": 0.00,
  "dos_ef_per_ev_cell": 2.80,
  "e_form_ev_per_atom": -0.138,
  "polymorph_energy_ev_per_atom": 0.000,
  "cell": [[6.211, -2.765, 0.000], [6.211, 2.765, 0.000], [-2.345, 0.000, 7.134]],
  "species": ["Cd", "Cd", "Cd", "Cd", "Ga", "Ga", "Au", "Au", "Au", "Au", "Au", "Au"],
  "fractional_positions": [[0.185, 0.188, 0.092], [0.188, 0.185, 0.592], [0.812, 0.815, 0.408], [0.815, 0.812, 0.908], [0.285, 0.715, 0.250], [0.715, 0.285, 0.750], [0.173, 0.827, 0.750], [0.369, 0.373, 0.435], [0.373, 0.369, 0.935], [0.627, 0.631, 0.065], [0.631, 0.627, 0.565], [0.827, 0.173, 0.250]]
}

9.
{
  "formula": "TaCd2NiSe",
  "functional": "PBE-GGA",
  "state": "optimized geometry",
  "e_form_raw_ev_per_fu": 6.2,
  "e_tot_ev_per_atom": -3.343,
  "space_group": "P4/mmm",
  "m_tot_mub_per_cell": 0.00,
  "dos_ef_per_ev_cell": 4.96,
  "cell": [[5.489, 0.000, 0.000], [0.000, 5.489, 0.000], [0.000, 0.000, 4.556]],
  "species": ["Ta", "Cd", "Cd", "Ni", "Se"],
  "fractional_positions": [[0.000, 0.000, 0.000], [0.000, 0.500, 0.000], [0.500, 0.000, 0.000], [0.000, 0.000, 0.500], [0.500, 0.500, 0.500]]
}

10.
{
  "formula": "ZnPSeS2",
  "functional": "PBE-GGA",
  "state": "optimized geometry",
  "e_form_raw_ev_per_fu": 4.3,
  "e_tot_ev_per_atom": -2.832,
  "space_group": "P4/mmm",
  "m_tot_mub_per_cell": 0.00,
  "dos_ef_per_ev_cell": 4.86,
  "polymorph_energy_ev_per_atom": 0.000,
  "cell": [[4.585, 0.000, 0.000], [0.000, 4.585, 0.000], [0.000, 0.000, 4.752]],
  "species": ["Zn", "P", "Se", "S", "S"],
  "fractional_positions": [[0.000, 0.000, 0.000], [0.000, 0.000, 0.500], [0.500, 0.500, 0.500], [0.000, 0.500, 0.000], [0.500, 0.000, 0.000]]
}

11.
{
  "formula": "AgMoRh2",
  "functional": "PBE-GGA",
  "state": "optimized geometry",
  "e_tot_ev_per_atom": -6.780,
  "space_group": "P4mm",
  "m_tot_mub_per_cell": 0.00,
  "dos_ef_per_ev_cell": 3.57,
  "e_form_ev_per_atom": 0.316,
  "polymorph_energy_ev_per_atom": 0.345,
  "cell": [[3.372, 0.000, 0.000], [0.000, 3.372, 0.000], [0.000, 0.000, 5.600]],
  "species": ["Ag", "Mo", "Rh", "Rh"],
  "fractional_positions": [[0.000, 0.000, 0.000], [0.500, 0.500, 0.301], [0.000, 0.000, 0.485], [0.500, 0.500, 0.744]]
}

12.
{
  "formula": "Ho2Tl2In",
  "functional": "PBE-GGA",
  "state": "optimized geometry",
  "e_tot_ev_per_atom": -3.597,
  "space_group": "P4/mbm",
  "m_tot_mub_per_cell": 0.00,
  "dos_ef_per_ev_cell": 5.55,
  "e_form_ev_per_atom": -0.272,
  "polymorph_energy_ev_per_atom": 0.000,
  "cell": [[7.711, 0.000, 0.000], [0.000, 7.711, 0.000], [0.000, 0.000, 4.583]],
  "species": ["Ho", "Ho", "Ho", "Ho", "Tl", "Tl", "Tl", "Tl", "In", "In"],
  "fractional_positions": [[0.168, 0.332, 0.000], [0.332, 0.832, 0.000], [0.668, 0.168, 0.000], [0.832, 0.668, 0.000], [0.136, 0.636, 0.500], [0.364, 0.136, 0.500], [0.636, 0.864, 0.500], [0.864, 0.364, 0.500], [0.000, 0.000, 0.500], [0.500, 0.500, 0.500]]
}